[1]
Material: HfScOs2
Method: DFT, PBE
State: relaxed

## Properties
Distance to the lowest polymorph of the same formula = 1.897 eV per formula unit
Space-group type = F-43m (216)
Formation energy from the elements = -0.09 eV per atom

Geometry as extended XYZ:
```
4
Lattice="-4.292 1.022 -1.077 -1.962 3.700 1.756 -0.885 3.577 -2.654" Properties=species:S:1:pos:R:3 pbc="T T T"
Os -5.355 6.225 -1.481
Os -3.570 4.150 -0.987
Hf -1.785 2.075 -0.494
Sc 0.000 0.000 0.000
```

***

[2]
Material: GdInIr
Method: DFT, PBE
State: relaxed

## Properties
Distance to the lowest polymorph of the same formula = 0.001 eV per formula unit
Space-group type = Pnma (62)

Geometry as extended XYZ:
```
12
Lattice="-2.896 -5.870 -2.682 0.667 -2.061 3.789 -7.629 2.524 2.715" Properties=species:S:1:pos:R:3 pbc="T T T"
In -6.272 -5.145 2.077
Ir -1.492 -1.663 0.615
In -2.181 -4.141 -0.611
In -7.677 -1.266 4.434
Gd -3.313 -3.455 2.475
Ir -8.367 -3.744 3.207
Ir -4.876 -3.957 -0.036
Ir -4.982 -1.450 3.859
Gd -6.220 1.354 3.088
Gd -3.639 -6.761 0.734
In -3.586 -0.262 1.746
Gd -6.545 -1.952 1.348
```

***

[3]
Material: HoCuAs
Method: DFT, PBE
State: relaxed

## Properties
Total DFT energy (no corrections) = -4.90 eV/atom
Space-group type = F-43m (216)

Geometry as extended XYZ:
```
3
Lattice="-1.504 1.199 3.950 -2.950 -2.504 2.079 1.173 -2.265 3.577" Properties=species:S:1:pos:R:3 pbc="T T T"
Ho -2.461 -2.677 7.205
As -0.820 -0.892 2.402
Cu 0.000 0.000 0.000
```

***

[4]
Material: GaBMo2
Method: DFT, PBE
State: relaxed

## Properties
Total DFT energy (no corrections) = -8.11 eV/atom
Space-group type = P6_3/mmc (194)

Geometry as extended XYZ:
```
8
Lattice="-1.919 2.155 -1.183 -1.167 -2.473 1.499 0.473 6.600 11.255" Properties=species:S:1:pos:R:3 pbc="T T T"
B 0.236 3.300 5.627
Ga -1.550 2.262 2.525
Mo -1.239 6.601 9.923
Mo -1.374 -0.319 1.648
Mo -1.388 4.524 6.381
Ga -1.063 4.020 9.046
B 0.000 0.000 0.000
Mo -1.225 1.758 5.190
```

***

[5]
Material: SrThFe
Method: DFT, PBE
State: relaxed

## Properties
Distance to the lowest polymorph of the same formula = 0.000 eV per formula unit
Space-group type = F-43m (216)

Geometry as extended XYZ:
```
3
Lattice="0.000 3.452 3.452 3.452 0.000 3.452 3.452 3.452 0.000" Properties=species:S:1:pos:R:3 pbc="T T T"
Sr 5.178 5.178 5.178
Fe 0.000 0.000 0.000
Th 1.726 1.726 1.726
```

***

[6]
Material: SnOs2Pd
Method: DFT, PBE
State: relaxed

## Properties
Total DFT energy (no corrections) = -7.42 eV/atom
Space-group type = F-43m (216)

Geometry as extended XYZ:
```
4
Lattice="1.194 -4.321 -0.395 -3.159 -3.200 -0.182 -0.755 -2.200 -3.852" Properties=species:S:1:pos:R:3 pbc="T T T"
Os -2.040 -7.291 -3.321
Sn -1.360 -4.860 -2.214
Os 0.000 0.000 0.000
Pd -0.680 -2.430 -1.107
```

***

[7]
Material: Na2ZnS
Method: DFT, PBE
State: relaxed

## Properties
Total DFT energy (no corrections) = -2.46 eV/atom
Space-group type = P6_3/mmc (194)

Geometry as extended XYZ:
```
8
Lattice="2.171 -3.760 0.000 2.171 3.760 0.000 0.000 0.000 12.845" Properties=species:S:1:pos:R:3 pbc="T T T"
Na 2.171 -1.253 5.392
Na 2.171 1.253 7.453
Na 2.171 -1.253 1.031
S 0.000 0.000 0.000
Zn 2.171 1.254 3.211
Zn 2.171 -1.254 9.634
Na 2.171 1.253 11.814
S 0.000 0.000 6.422
```

***

[8]
Material: Sc2TaBi
Method: DFT, PBE
State: relaxed

## Properties
Total DFT energy (no corrections) = -6.95 eV/atom
Space-group type = F-43m (216)

Geometry as extended XYZ:
```
4
Lattice="0.000 3.515 3.515 3.515 0.000 3.515 3.515 3.515 0.000" Properties=species:S:1:pos:R:3 pbc="T T T"
Bi 3.515 3.515 3.515
Sc 0.000 0.000 0.000
Sc 5.273 5.273 5.273
Ta 1.758 1.758 1.758
```